PBE+U Cd2CoBO5, optimized geometry; calculated volume = 10.6 Å³ per atom; SG = Cmc2_1 (36); VASP energy = -99.72 eV/cell
1.0
-2.658 -1.116 0.087
1.897 -1.289 -6.413
3.780 -8.775 2.882
Cd Co B O
4 2 2 10
Cartesian
2.190 -9.108 -2.197
2.607 -6.158 0.596
1.374 -3.336 -0.833
-0.277 -3.421 -4.566
1.032 -6.358 -2.253
0.355 -1.035 -2.436
2.238 -8.907 1.872
2.096 -5.325 -4.314
0.386 -1.254 -4.304
2.309 -9.187 0.447
1.719 -7.644 2.231
2.831 -6.874 -1.720
1.103 -6.681 -4.236
0.748 -5.549 -0.578
1.920 -4.802 -2.970
1.703 -4.472 -5.368
-0.467 -2.786 -2.224
0.086 -0.251 -0.604